A plane-wave DFT calculation with PBE was carried out for a relaxed NbZn2Sb crystal.

DFT total energy in eV per atom: -3.84
Crystal system: cubic
Symmetry: No. 216

Lattice parameters (Å, degrees): 4.713 4.713 4.713 60.00 60.00 60.00
Positions (direct):
Nb  0.250  0.250  0.250
Sb  0.500  0.500  0.500
Zn  0.000  0.000  0.000
Zn  0.750  0.750  0.750

A plane-wave DFT calculation with PBE was carried out for a relaxed MgTlBPd crystal.

Crystal system: cubic
Symmetry: No. 216
Distance to the lowest polymorph of the same formula in eV/f.u.: 0.00

Lattice parameters (Å, degrees): 4.567 4.567 4.567 60.00 60.00 60.00
Positions (direct):
B  0.500  0.500  0.500
Mg  0.750  0.750  0.750
Pd  0.000  0.000  0.000
Tl  0.250  0.250  0.250

| no. | theoretical density (Mg/m³) |
| --- | --- |
| 1 | 7.75 |
| 2 | 8.53 |